# 1
Material: Y5Tl3
Method: DFT, GGA-PBE
State: optimized geometry

Cell and atoms, written as POSCAR:
```
Y5Tl3
1.0
4.126 -5.532 0.000
4.126 5.532 0.000
0.000 0.000 5.093
Y Tl
5 3
Direct
0.000 0.000 0.000
0.000 0.500 0.000
0.289 0.289 0.500
0.500 0.000 0.000
0.711 0.711 0.500
0.199 0.801 0.500
0.500 0.500 0.000
0.801 0.199 0.500
```

Summary:
E above lowest polymorph in eV/atom: 0.079
Space-group type: Cmmm
ΔH_f (0 K) in eV per atom: -0.27
Calculated total energy in eV per cell: -41.6
Calculated volume in Å³ per cell: 232.47
DOS(E_F) in states/eV/f.u.: 8.7


# 2
Material: ZrSbPS2
Method: DFT, GGA-PBE
State: optimized geometry

Cell and atoms, written as POSCAR:
```
ZrSbPS2
1.0
4.882 0.000 0.000
0.000 4.882 0.000
0.000 0.000 4.999
Zr Sb P S
1 1 1 2
Direct
0.000 0.000 0.000
0.500 0.500 0.500
0.500 0.500 0.000
0.000 0.500 0.500
0.500 0.000 0.500
```

Summary:
E above lowest polymorph in eV/atom: 0.603
Space-group type: P4/mmm
Calculated total energy in eV per cell: -23.8
Calculated volume in Å³ per cell: 119.15
DOS(E_F) in states/eV/f.u.: 4.4